Below is ZrWIO2 after structural relaxation, with properties calculated at the GGA+U level.

Calculated values
- Space group: P4/mmm
- Magnetization: 4.793 Bohr magnetons per cell
- ΔE to the lowest computed polymorph: 0.0000 eV/atom
- DOS(E_F): 0.958 states/eV per cell

a = 4.159 Å, b = 4.159 Å, c = 6.284 Å
α = 90.00°, β = 90.00°, γ = 90.00°
Element x y z (fractional)
W 0.500 0.500 0.500
Zr 0.000 0.000 0.000
O 0.500 0.000 0.000
O 0.000 0.500 0.000
I 0.000 0.000 0.500